Entry 1:
The following is a DFT calculation (GGA-PBE) of crystalline CsRu at its relaxed geometry.

```
16
Lattice="4.440 0.000 0.000 0.000 9.451 0.000 0.000 0.000 15.652" Properties=species:S:1:pos:R:3 pbc="T T T"
Cs 0.045 0.526 7.009
Cs 0.059 0.705 11.161
Cs 2.161 8.745 3.335
Cs 2.175 8.925 14.835
Cs 2.265 4.199 8.644
Cs 2.279 4.020 4.491
Cs 4.381 5.431 12.317
Cs 4.395 5.251 0.817
Ru 0.052 6.414 6.564
Ru 0.052 6.924 8.928
Ru 2.168 2.526 1.102
Ru 2.168 3.037 14.390
Ru 2.272 7.252 6.724
Ru 2.273 7.762 9.089
Ru 4.388 1.689 1.263
Ru 4.389 2.199 14.550
```

Computed properties:
- Formation energy from the elements: 753 meV/atom
- Magnetic moment: 0.0 μB/cell
- Relative energy among the computed polymorphs: 32 meV per atom


Entry 2:
The following is a DFT calculation (GGA-PBE) of crystalline CsRu at its relaxed geometry.

```
16
Lattice="13.512 0.000 0.000 0.000 13.512 0.000 0.000 0.000 4.414" Properties=species:S:1:pos:R:3 pbc="T T T"
Cs 0.000 3.278 0.000
Cs 0.000 10.234 0.000
Cs 3.278 0.000 0.000
Cs 3.478 6.756 2.207
Cs 6.756 3.478 2.207
Cs 6.756 10.034 2.207
Cs 10.034 6.756 2.207
Cs 10.234 0.000 0.000
Ru 3.190 3.190 2.207
Ru 3.190 10.322 2.207
Ru 3.566 3.566 0.000
Ru 3.566 9.946 0.000
Ru 9.946 3.566 0.000
Ru 9.946 9.946 0.000
Ru 10.322 3.190 2.207
Ru 10.322 10.322 2.207
```

Computed properties:
- Formation energy from the elements: 1138 meV/atom
- Magnetic moment: 0.0 μB/cell
- Relative energy among the computed polymorphs: 416 meV per atom


Entry 3:
The following is a DFT calculation (GGA-PBE) of crystalline CsRu at its relaxed geometry.

```
4
Lattice="4.081 0.000 0.000 2.040 3.534 0.000 0.347 0.231 10.917" Properties=species:S:1:pos:R:3 pbc="T T T"
Cs 0.000 0.000 0.000
Cs 2.393 1.415 5.075
Ru 2.389 1.410 8.343
Ru 4.429 2.588 7.883
```

Computed properties:
- Formation energy from the elements: 765 meV/atom
- Magnetic moment: 0.0 μB/cell
- Relative energy among the computed polymorphs: 43 meV per atom


Entry 4:
The following is a DFT calculation (GGA-PBE) of crystalline CsRu at its relaxed geometry.

```
8
Lattice="6.200 0.000 0.000 0.000 6.200 0.000 0.000 0.000 6.200" Properties=species:S:1:pos:R:3 pbc="T T T"
Cs 0.000 0.000 0.000
Cs 0.000 3.100 3.100
Cs 3.100 0.000 3.100
Cs 3.100 3.100 0.000
Ru 0.000 0.000 3.100
Ru 0.000 3.100 0.000
Ru 3.100 0.000 0.000
Ru 3.100 3.100 3.100
```

Computed properties:
- Formation energy from the elements: 2421 meV/atom
- Magnetic moment: 6.5 μB/cell
- Relative energy among the computed polymorphs: 1699 meV per atom